A plane-wave DFT calculation with GGA+U was carried out for an optimized crystal structure of PaZn2CrO8.

E_tot: -6.43 eV/atom
Fermi-level density of states: 0.273 states/eV/atom

The structure in POSCAR format:
```
PaZn2CrO8
1.0
5.792 0.687 0.000
-1.953 5.496 0.000
-1.920 -3.092 4.558
Pa O Cr Zn
1 8 1 2
Direct
0.000 0.000 0.000
0.944 0.638 0.693
0.749 0.056 0.693
0.317 0.083 0.765
0.362 0.056 0.307
0.917 0.683 0.235
0.448 0.683 0.765
0.944 0.251 0.307
0.317 0.552 0.235
0.250 0.750 0.500
0.750 0.250 0.500
0.500 0.500 0.000
```